Entry 1:
{
  "formula": "Mg2AlRh",
  "functional": "PBE",
  "state": "optimized geometry",
  "lattice": [[-1.7044, -1.7195, -2.0369], [-2.0223, -0.7411, 2.3178], [-3.8147, 5.6022, -1.5372]],
  "species": ["Mg", "Mg", "Al", "Rh"],
  "fractional_positions": [[0.5000, 0.5000, 0.2903], [0.0000, 0.0000, 0.9750], [0.5000, 0.5000, 0.7028], [0.0000, 0.0000, 0.5319]],
  "sg": "P4mm (99)",
  "formation_enthalpy_0k_kj_per_mol_fu": -178.1,
  "final_energy_ev_per_cell": -16.13
}



Entry 2:
{
  "formula": "TbDy2F11",
  "functional": "PBE",
  "state": "optimized geometry",
  "lattice": [[7.4230, 0.0000, 3.8691], [3.3922, 7.5449, 2.5472], [0.2096, -0.0247, 8.6531]],
  "species": ["F", "F", "F", "F", "F", "F", "F", "F", "F", "F", "F", "F", "F", "F", "F", "F", "F", "F", "F", "F", "F", "F", "Tb", "Tb", "Dy", "Dy", "Dy", "Dy"],
  "fractional_positions": [[0.4593, 0.9720, 0.3136], [0.3401, 0.2900, 0.4426], [0.9593, 0.8136, 0.4720], [0.9273, 0.4426, 0.2900], [0.8401, 0.9426, 0.7900], [0.8907, 0.8058, 0.1942], [0.0727, 0.5574, 0.7100], [0.2449, 0.5280, 0.1864], [0.5000, 0.5000, 0.5000], [0.1093, 0.1942, 0.8058], [0.7551, 0.4720, 0.8136], [0.0000, 0.0000, 0.0000], [0.3907, 0.6942, 0.3058], [0.5407, 0.0280, 0.6864], [0.7449, 0.6864, 0.0280], [0.6093, 0.3058, 0.6942], [0.1599, 0.0574, 0.2100], [0.0407, 0.1864, 0.5280], [0.4273, 0.7900, 0.9426], [0.5727, 0.2100, 0.0574], [0.2551, 0.3136, 0.9720], [0.6599, 0.7100, 0.5574], [0.2500, 0.2500, 0.2500], [0.7500, 0.7500, 0.7500], [0.6592, 0.6894, 0.3106], [0.8408, 0.1894, 0.8106], [0.3408, 0.3106, 0.6894], [0.1592, 0.8106, 0.1894]],
  "raw_formation_energy_kj_per_mol_atoms": -333.9,
  "sg": "Ibam (72)",
  "final_energy_ev_per_cell": -165.73
}



Entry 3:
{
  "formula": "Tb5HoTmTh2",
  "functional": "PBE",
  "state": "optimized geometry",
  "lattice": [[-2.8597, 8.1671, 0.8905], [-4.5966, -2.3721, 6.9940], [9.8661, -1.2491, 0.6508]],
  "species": ["Tb", "Tb", "Tb", "Tb", "Tb", "Tb", "Tb", "Tb", "Tb", "Tb", "Th", "Th", "Th", "Th", "Ho", "Ho", "Tm", "Tm"],
  "fractional_positions": [[0.0710, 0.5710, 0.7188], [0.9290, 0.4290, 0.2812], [0.4290, 0.3522, 0.2812], [0.5000, 0.5000, 0.0000], [0.8522, 0.9290, 0.2812], [0.3522, 0.8522, 0.2812], [0.6478, 0.1478, 0.7188], [0.0000, 0.0000, 0.0000], [0.1478, 0.0710, 0.7188], [0.5710, 0.6478, 0.7188], [0.8798, 0.6202, 0.0000], [0.3798, 0.8798, 0.0000], [0.6202, 0.1202, 0.0000], [0.1202, 0.3798, 0.0000], [0.7500, 0.7500, 0.5000], [0.2500, 0.2500, 0.5000], [0.7500, 0.2500, 0.5000], [0.2500, 0.7500, 0.5000]],
  "sg": "I4/mcm (140)",
  "formation_enthalpy_0k_kj_per_mol_fu": 300.5,
  "final_energy_ev_per_cell": -87.85
}



Entry 4:
{
  "formula": "NbGa2Ni3",
  "functional": "PBE",
  "state": "optimized geometry",
  "lattice": [[-1.0675, -0.7727, 2.5560], [2.6444, 0.0757, 1.1273], [-1.2200, 9.1252, 2.2490]],
  "species": ["Ni", "Ni", "Ni", "Ga", "Ga", "Nb"],
  "fractional_positions": [[0.0000, 0.0000, 0.3054], [0.0000, 0.0000, 0.0000], [0.0000, 0.0000, 0.6946], [0.5000, 0.5000, 0.1576], [0.5000, 0.5000, 0.8424], [0.5000, 0.5000, 0.5000]],
  "e_above_lowest_polymorph_ev_per_fu": 0.00,
  "sg": "P4/mmm (123)",
  "formation_enthalpy_0k_kj_per_mol_fu": -187.6,
  "final_energy_ev_per_cell": -35.41
}



Entry 5:
{
  "formula": "La2TmH4",
  "functional": "PBE",
  "state": "optimized geometry",
  "lattice": [[-1.2147, 3.0053, 2.3785], [1.6447, -1.8449, 3.1711], [6.1277, 3.8785, 1.6271]],
  "species": ["H", "H", "H", "H", "La", "La", "Tm"],
  "fractional_positions": [[0.1595, 0.1595, 0.6809], [0.0000, 0.5000, 0.0000], [0.8405, 0.8405, 0.3191], [0.5000, 0.0000, 0.0000], [0.3369, 0.3369, 0.3262], [0.6631, 0.6631, 0.6738], [0.0000, 0.0000, 0.0000]],
  "sg": "I4/mmm (139)",
  "final_energy_ev_per_cell": -30.03
}



Entry 6:
{
  "formula": "RbSrFe2",
  "functional": "PBE",
  "state": "optimized geometry",
  "lattice": [[4.5288, -2.0926, -2.3994], [0.6859, -5.4846, -0.3083], [-0.3931, -2.5682, -4.8884]],
  "species": ["Rb", "Sr", "Fe", "Fe"],
  "fractional_positions": [[0.0000, 0.0000, 0.0000], [0.5000, 0.5000, 0.5000], [0.2500, 0.2500, 0.2500], [0.7500, 0.7500, 0.7500]],
  "e_above_lowest_polymorph_ev_per_fu": 0.27,
  "sg": "Fm-3m (225)",
  "formation_enthalpy_0k_kj_per_mol_fu": 498.2,
  "final_energy_ev_per_cell": -14.41
}



Entry 7:
{
  "formula": "BeMoBr",
  "functional": "PBE",
  "state": "optimized geometry",
  "lattice": [[-2.6950, 1.5571, -2.7639], [-2.9677, -2.4335, -1.6117], [-3.9794, 0.5819, 1.0736]],
  "species": ["Br", "Be", "Mo"],
  "fractional_positions": [[0.7500, 0.7500, 0.7500], [0.5000, 0.5000, 0.5000], [0.0000, 0.0000, 0.0000]],
  "raw_formation_energy_kj_per_mol_atoms": 138.9,
  "e_above_lowest_polymorph_ev_per_fu": 2.68,
  "sg": "F-43m (216)",
  "final_energy_ev_per_cell": -11.91
}



Entry 8:
{
  "formula": "Y2In2Se",
  "functional": "PBE",
  "state": "optimized geometry",
  "lattice": [[7.4976, 0.0000, 0.0000], [0.0000, 7.4976, 0.0000], [0.0000, 0.0000, 4.9881]],
  "species": ["Y", "Y", "Y", "Y", "In", "In", "In", "In", "Se", "Se"],
  "fractional_positions": [[0.1669, 0.3331, 0.0000], [0.8331, 0.6669, 0.0000], [0.6669, 0.1669, 0.0000], [0.3331, 0.8331, 0.0000], [0.8593, 0.3593, 0.5000], [0.6407, 0.8593, 0.5000], [0.3593, 0.1407, 0.5000], [0.1407, 0.6407, 0.5000], [0.0000, 0.0000, 0.0000], [0.5000, 0.5000, 0.0000]],
  "raw_formation_energy_kj_per_mol_atoms": -76.8,
  "sg": "P4/mbm (127)",
  "final_energy_ev_per_cell": -51.74
}



Entry 9:
{
  "formula": "ZrSc2Cu4",
  "functional": "PBE",
  "state": "optimized geometry",
  "lattice": [[-0.7299, 3.6435, 2.5057], [-4.1692, 1.5569, 0.5298], [-2.4897, -2.6393, 7.1208]],
  "species": ["Cu", "Cu", "Cu", "Cu", "Sc", "Sc", "Zr"],
  "fractional_positions": [[0.1219, 0.1219, 0.6344], [0.6308, 0.6308, 0.1077], [0.8781, 0.8781, 0.3656], [0.3692, 0.3692, 0.8923], [0.7582, 0.7582, 0.7253], [0.2418, 0.2418, 0.2747], [0.0000, 0.0000, 0.0000]],
  "sg": "R-3m (166)",
  "formation_enthalpy_0k_kj_per_mol_fu": 32.1,
  "final_energy_ev_per_cell": -37.26
}



Entry 10:
{
  "formula": "YGaBr",
  "functional": "PBE",
  "state": "optimized geometry",
  "lattice": [[-1.6732, -3.4762, 1.4894], [1.1029, -3.6632, -1.5697], [7.1397, 0.4985, 9.1715]],
  "species": ["Y", "Y", "Ga", "Ga", "Br", "Br"],
  "fractional_positions": [[0.7769, 0.9907, 0.4283], [0.8936, 0.7568, 0.0682], [0.4922, 0.5597, 0.2780], [0.1782, 0.1877, 0.2186], [0.0604, 0.4245, 0.5827], [0.6103, 0.3229, 0.9138]],
  "raw_formation_energy_kj_per_mol_atoms": -118.9,
  "sg": "C2/m (12)",
  "final_energy_ev_per_cell": -29.72
}



Entry 11:
{
  "formula": "CsKNpN3",
  "functional": "PBE",
  "state": "optimized geometry",
  "lattice": [[6.0747, -0.1980, 0.0000], [1.0811, 6.5028, 0.0000], [0.5405, 3.2514, 6.8004]],
  "species": ["N", "N", "N", "N", "N", "N", "Np", "Np", "K", "K", "Cs", "Cs"],
  "fractional_positions": [[0.9899, 0.2155, 0.9209], [0.2500, 0.8003, 0.3994], [0.7500, 0.1997, 0.6006], [0.5101, 0.8636, 0.9209], [0.0101, 0.7845, 0.0791], [0.4899, 0.1364, 0.0791], [0.7500, 0.0602, 0.8797], [0.2500, 0.9398, 0.1203], [0.2500, 0.5830, 0.8340], [0.7500, 0.4170, 0.1660], [0.7500, 0.7443, 0.5114], [0.2500, 0.2557, 0.4886]],
  "raw_formation_energy_kj_per_mol_atoms": -42.8,
  "sg": "C2/c (15)",
  "final_energy_ev_per_cell": -85.06
}



Entry 12:
{
  "formula": "DyMgPd6",
  "functional": "PBE",
  "state": "optimized geometry",
  "lattice": [[4.0642, 0.0000, 0.0000], [0.0000, 4.0642, 0.0000], [0.0000, 0.0000, 8.0418]],
  "species": ["Dy", "Pd", "Pd", "Pd", "Pd", "Pd", "Pd", "Mg"],
  "fractional_positions": [[0.0000, 0.0000, 0.5000], [0.5000, 0.0000, 0.2401], [0.5000, 0.5000, 0.0000], [0.5000, 0.0000, 0.7599], [0.0000, 0.5000, 0.7599], [0.5000, 0.5000, 0.5000], [0.0000, 0.5000, 0.2401], [0.0000, 0.0000, 0.0000]],
  "sg": "P4/mmm (123)",
  "formation_enthalpy_0k_kj_per_mol_fu": -514.5,
  "final_energy_ev_per_cell": -42.69
}